Run i
A geometry-optimized DyGe3Ru3 structure, computed with PBE.

Its volume is 794.9 Å³ per cell. The calculation puts the density of states at the Fermi level at 0.62 states/eV/atom.

The structure belongs to space group R-3 (No. 148, hexagonal axes); the cell edges are 6.7252, 6.7252 and 20.2946 Å and the angles 90.00°, 90.00° and 120.00°. Symmetry generates all atoms from Dy at (0.0000, 0.0000, 0.1683), Ge at (0.0480, 0.4310, 0.2578) and Ru at (0.0257, 0.2612, 0.7137).

Run ii
A geometry-optimized DyGe3Ru3 structure, computed with PBE.

Its volume is 296.3 Å³ per cell. The calculation puts the density of states at the Fermi level at 0.36 states/eV/atom.

The structure belongs to space group Pm-3n (No. 223); the cell edges are 6.6667, 6.6667 and 6.6667 Å and the angles 90.00°, 90.00° and 90.00°. Symmetry generates all atoms from Dy at (0.0000, 0.0000, 0.0000), Ge at (0.0000, 0.2500, 0.5000) and Ru at (0.0000, 0.5000, 0.2500).

Least stable = run ii

Run i
A geometry-optimized TbDyGeRu structure, computed with PBE.

Its volume is 178.8 Å³ per cell. The calculation puts the density of states at the Fermi level at 0.47 states/eV/atom.

The structure belongs to space group Amm2 (No. 38); the cell edges are 3.8664, 4.2497 and 10.8792 Å and the angles 90.00°, 90.00° and 90.00°. Symmetry generates all atoms from Tb at (0.0000, 0.0000, 0.0000), Dy at (0.5000, 0.0000, 0.7186), Ge at (0.5000, 0.0000, 0.4223) and Ru at (0.0000, 0.0000, 0.2686).

Run ii
A geometry-optimized TbDyGeRu structure, computed with PBE.

Its volume is 340.8 Å³ per cell. The calculation puts the density of states at the Fermi level at 0.61 states/eV/atom.

The structure belongs to space group F-43m (No. 216); the cell edges are 6.9848, 6.9848 and 6.9848 Å and the angles 90.00°, 90.00° and 90.00°. Symmetry generates all atoms from Tb at (0.0000, 0.0000, 0.0000), Dy at (0.0000, 0.0000, 0.5000), Ge at (0.2500, 0.2500, 0.2500) and Ru at (0.2500, 0.2500, 0.7500).

Least stable = run ii

Run i
A geometry-optimized DyTmGeRu structure, computed with PBE.

Its volume is 331.5 Å³ per cell. The calculation puts the density of states at the Fermi level at 0.57 states/eV/atom.

The structure belongs to space group F-43m (No. 216); the cell edges are 6.9208, 6.9208 and 6.9208 Å and the angles 90.00°, 90.00° and 90.00°. Symmetry generates all atoms from Dy at (0.0000, 0.0000, 0.0000), Tm at (0.0000, 0.0000, 0.5000), Ge at (0.2500, 0.2500, 0.2500) and Ru at (0.2500, 0.2500, 0.7500).

Run ii
A geometry-optimized DyTmGeRu structure, computed with PBE.

Its volume is 174.6 Å³ per cell. The calculation puts the density of states at the Fermi level at 0.49 states/eV/atom.

The structure belongs to space group Amm2 (No. 38); the cell edges are 3.8350, 4.2109 and 10.8096 Å and the angles 90.00°, 90.00° and 90.00°. Symmetry generates all atoms from Dy at (0.0000, 0.0000, 0.0000), Tm at (0.5000, 0.0000, 0.7177), Ge at (0.5000, 0.0000, 0.4221) and Ru at (0.0000, 0.0000, 0.2669).

Least stable = run i

Run i
A geometry-optimized DyGeS2 structure, computed with PBE.

Its volume is 80.4 Å³ per cell. The calculation puts the density of states at the Fermi level at 0.41 states/eV/atom.

The structure belongs to space group P1 (No. 1); the cell edges are 3.8187, 4.1813 and 5.3870 Å and the angles 89.79°, 69.28° and 89.38°. Symmetry generates all atoms from Dy at (0.0000, 0.0000, 0.0000), Ge at (0.7929, 0.5000, 0.4072), S at (0.2928, 0.9995, 0.4127) and S at (0.5679, 0.4998, 0.8647).

Run ii
A geometry-optimized DyGeS2 structure, computed with PBE.

Its volume is 289.5 Å³ per cell. The calculation puts the density of states at the Fermi level at 0.32 states/eV/atom.

The structure belongs to space group R-3m (No. 166, hexagonal axes); the cell edges are 3.7040, 3.7040 and 24.3661 Å and the angles 90.00°, 90.00° and 120.00°. Symmetry generates all atoms from Dy at (0.0000, 0.0000, 0.0000), Ge at (0.0000, 0.0000, 0.5000) and S at (0.0000, 0.0000, 0.1075).

Least stable = run ii

Run i
A geometry-optimized Dy2GeS structure, computed with PBE.

Its volume is 373.1 Å³ per cell. The calculation puts the density of states at the Fermi level at 0.21 states/eV/atom.

The structure belongs to space group I4_1/amd (No. 141, origin choice 2); the cell edges are 5.7121, 5.7121 and 11.4335 Å and the angles 90.00°, 90.00° and 90.00°. Symmetry generates all atoms from Dy at (0.0000, 0.2500, 0.1230), Ge at (0.0000, 0.2500, 0.3750) and S at (0.0000, 0.2500, 0.8750).

Run ii
A geometry-optimized Dy2GeS structure, computed with PBE.

Its volume is 288.9 Å³ per cell. The calculation puts the density of states at the Fermi level at 0.66 states/eV/atom.

The structure belongs to space group R3m (No. 160, hexagonal axes); the cell edges are 3.9875, 3.9875 and 20.9835 Å and the angles 90.00°, 90.00° and 120.00°. Symmetry generates all atoms from Dy at (0.0000, 0.0000, 0.0000), Dy at (0.0000, 0.0000, 0.1738), Ge at (0.0000, 0.0000, 0.5873) and S at (0.0000, 0.0000, 0.4173).

Run iii
A geometry-optimized Dy2GeS structure, computed with PBE.

Its volume is 281.2 Å³ per cell. The calculation puts the density of states at the Fermi level at 0.36 states/eV/atom.

The structure belongs to space group R-3m (No. 166, hexagonal axes); the cell edges are 4.0393, 4.0393 and 19.9013 Å and the angles 90.00°, 90.00° and 120.00°. Symmetry generates all atoms from Dy at (0.0000, 0.0000, 0.2501), Ge at (0.0000, 0.0000, 0.0000) and S at (0.0000, 0.0000, 0.5000).

Least stable = run ii

Run i
A geometry-optimized Dy3GeS2 structure, computed with PBE.

Its volume is 271.8 Å³ per cell. The calculation puts the density of states at the Fermi level at 0.28 states/eV/atom.

The structure belongs to space group Immm (No. 71); the cell edges are 4.0202, 5.6530 and 11.9581 Å and the angles 90.00°, 90.00° and 90.00°. Symmetry generates all atoms from Dy at (0.0000, 0.0000, 0.0000), Dy at (0.0000, 0.0000, 0.3330), Ge at (0.0000, 0.5000, 0.0000) and S at (0.0000, 0.5000, 0.3336).

Run ii
A geometry-optimized Dy3GeS2 structure, computed with PBE.

Its volume is 742.9 Å³ per cell. The calculation puts the density of states at the Fermi level at 0.53 states/eV/atom.

The structure belongs to space group Cmcm (No. 63); the cell edges are 10.7637, 10.6770 and 6.4645 Å and the angles 90.00°, 90.00° and 90.00°. Symmetry generates all atoms from Dy at (0.0000, 0.1025, 0.2500), Dy at (0.1565, 0.4125, 0.2500), Ge at (0.0000, 0.3694, 0.7500) and S at (0.1674, 0.0000, 0.0000).

Least stable = run ii

Run i
A geometry-optimized Dy2GeSb structure, computed with PBE.

Its volume is 421.8 Å³ per cell. The calculation puts the density of states at the Fermi level at 0.38 states/eV/atom.

The structure belongs to space group Cmcm (No. 63); the cell edges are 4.3708, 23.1679 and 4.1659 Å and the angles 90.00°, 90.00° and 90.00°. Symmetry generates all atoms from Dy at (0.0000, 0.0606, 0.2500), Dy at (0.0000, 0.3228, 0.2500), Ge at (0.0000, 0.4577, 0.2500) and Sb at (0.0000, 0.1895, 0.2500).

Run ii
A geometry-optimized Dy2GeSb structure, computed with PBE.

Its volume is 328.5 Å³ per cell. The calculation puts the density of states at the Fermi level at 0.55 states/eV/atom.

The structure belongs to space group R-3m (No. 166, hexagonal axes); the cell edges are 4.1892, 4.1892 and 21.6152 Å and the angles 90.00°, 90.00° and 120.00°. Symmetry generates all atoms from Dy at (0.0000, 0.0000, 0.2449), Ge at (0.0000, 0.0000, 0.5000) and Sb at (0.0000, 0.0000, 0.0000).

Least stable = run ii

Run i
A geometry-optimized DySc2Ge structure, computed with PBE.

Its volume is 303.0 Å³ per cell. The calculation puts the density of states at the Fermi level at 1.69 states/eV/atom.

The structure belongs to space group R-3m (No. 166, hexagonal axes); the cell edges are 3.3452, 3.3452 and 31.2664 Å and the angles 90.00°, 90.00° and 120.00°. Symmetry generates all atoms from Dy at (0.0000, 0.0000, 0.0000), Sc at (0.0000, 0.0000, 0.1034) and Ge at (0.0000, 0.0000, 0.5000).

Run ii
A geometry-optimized DySc2Ge structure, computed with PBE.

Its volume is 88.7 Å³ per cell. The calculation puts the density of states at the Fermi level at 1.24 states/eV/atom.

The structure belongs to space group P4/mmm (No. 123); the cell edges are 4.4556, 4.4556 and 4.4696 Å and the angles 90.00°, 90.00° and 90.00°. Symmetry generates all atoms from Dy at (0.0000, 0.0000, 0.0000), Sc at (0.0000, 0.5000, 0.5000) and Ge at (0.5000, 0.5000, 0.0000).

Least stable = run i

Run i
A geometry-optimized Dy2ScGe2 structure, computed with PBE.

Its volume is 467.3 Å³ per cell. The calculation puts the density of states at the Fermi level at 0.63 states/eV/atom.

The structure belongs to space group C2/m (No. 12); the cell edges are 11.8398, 4.2859 and 10.3671 Å and the angles 90.00°, 117.33° and 90.00°. Symmetry generates all atoms from Dy at (0.0153, 0.0000, 0.1851), Dy at (0.1821, 0.0000, 0.5932), Sc at (0.2225, 0.5000, 0.8672), Ge at (0.0173, 0.5000, 0.3857) and Ge at (0.1252, 0.5000, 0.0657).

Run ii
A geometry-optimized Dy2ScGe2 structure, computed with PBE.

Its volume is 231.8 Å³ per cell. The calculation puts the density of states at the Fermi level at 0.82 states/eV/atom.

The structure belongs to space group Immm (No. 71); the cell edges are 4.2414, 6.1281 and 8.9173 Å and the angles 90.00°, 90.00° and 90.00°. Symmetry generates all atoms from Dy at (0.0000, 0.0000, 0.2002), Sc at (0.0000, 0.5000, 0.0000) and Ge at (0.0000, 0.2829, 0.5000).

Least stable = run i

Run i
A geometry-optimized DySiGe structure, computed with PBE.

Its volume is 61.3 Å³ per cell. The calculation puts the density of states at the Fermi level at 0.76 states/eV/atom.

The structure belongs to space group P-6m2 (No. 187); the cell edges are 4.2862, 4.2862 and 3.8525 Å and the angles 90.00°, 90.00° and 120.00°. Symmetry generates all atoms from Dy at (0.0000, 0.0000, 0.0000), Si at (0.6667, 0.3333, 0.5000) and Ge at (0.3333, 0.6667, 0.5000).

Run ii
A geometry-optimized DySiGe structure, computed with PBE.

Its volume is 247.8 Å³ per cell. The calculation puts the density of states at the Fermi level at 0.35 states/eV/atom.

The structure belongs to space group Immm (No. 71); the cell edges are 3.8955, 7.9226 and 8.0281 Å and the angles 90.00°, 90.00° and 90.00°. Symmetry generates all atoms from Dy at (0.0000, 0.2484, 0.0000), Si at (0.0000, 0.5000, 0.3523) and Ge at (0.0000, 0.0000, 0.3309).

Least stable = run i

Run i
A geometry-optimized SmDyGe structure, computed with PBE.

Its volume is 82.4 Å³ per cell. The calculation puts the density of states at the Fermi level at 0.67 states/eV/atom.

The structure belongs to space group P3m1 (No. 156); the cell edges are 4.7383, 4.7383 and 4.2406 Å and the angles 90.00°, 90.00° and 120.00°. Symmetry generates all atoms from Sm at (0.0000, 0.0000, 0.0000), Dy at (0.6667, 0.3333, 0.4739) and Ge at (0.3333, 0.6667, 0.6454).

Run ii
A geometry-optimized SmDyGe structure, computed with PBE.

Its volume is 159.7 Å³ per cell. The calculation puts the density of states at the Fermi level at 1.26 states/eV/atom.

The structure belongs to space group P4/nmm (No. 129, origin choice 2); the cell edges are 4.4110, 4.4110 and 8.2077 Å and the angles 90.00°, 90.00° and 90.00°. Symmetry generates all atoms from Sm at (0.2500, 0.2500, 0.1446), Dy at (0.2500, 0.7500, 0.5000) and Ge at (0.2500, 0.2500, 0.7723).

Least stable = run i

Run i
A geometry-optimized SmDy2Ge2 structure, computed with PBE.

Its volume is 249.5 Å³ per cell. The calculation puts the density of states at the Fermi level at 0.97 states/eV/atom.

The structure belongs to space group P4/mbm (No. 127); the cell edges are 7.7434, 7.7434 and 4.1610 Å and the angles 90.00°, 90.00° and 90.00°. Symmetry generates all atoms from Sm at (0.0000, 0.0000, 0.0000), Dy at (0.1714, 0.3286, 0.5000) and Ge at (0.1251, 0.6251, 0.0000).

Run ii
A geometry-optimized SmDy2Ge2 structure, computed with PBE.

Its volume is 261.0 Å³ per cell. The calculation puts the density of states at the Fermi level at 1.03 states/eV/atom.

The structure belongs to space group C2/m (No. 12); the cell edges are 12.0844, 3.8084 and 5.8026 Å and the angles 90.00°, 102.18° and 90.00°. Symmetry generates all atoms from Sm at (0.0000, 0.0000, 0.0000), Dy at (0.1400, 0.5000, 0.5687) and Ge at (0.2093, 0.5000, 0.1142).

Least stable = run ii